No. 1
Compound: YSb2W
Source: Alexandria
Functional: PBE
Structure: optimized geometry

Structure (extended XYZ):
```
4
Lattice="4.9935 -0.1592 0.5903 3.7769 3.2704 0.5903 1.7227 0.6111 6.2986" Properties=species:S:1:pos:R:3 pbc="T T T"
Y 2.1987 0.7800 1.8584
W 5.5305 1.9619 4.7022
Sb 10.4218 3.6970 7.3314
Sb 8.0814 2.8667 4.8059
```

The uncorrected formation energy comes out at 0.0205 eV per atom. Its calculated density is 8.3 g/cm3. The offset from the most stable computed form is 0.30 eV/f.u. The value obtained for the size of the total moment is 0.000 μB/f.u. As for the total energy: -6.90 eV per atom. Its symmetry is Cm (8). For the density of states at the Fermi level, the calculation gives 0.805 states/eV/atom.

***

No. 2
Compound: YSb2W
Source: Alexandria
Functional: PBE
Structure: optimized geometry

Structure (extended XYZ):
```
4
Lattice="-3.8879 -0.5149 -0.0106 0.6866 -5.1940 0.4497 -0.0610 0.3701 4.3680" Properties=species:S:1:pos:R:3 pbc="T T T"
Sb 0.0000 0.0000 0.0000
Sb -1.6006 -2.8544 0.2195
W -1.9744 -0.0724 2.1787
Y 0.3128 -2.4119 2.4089
```

The uncorrected formation energy comes out at 0.2094 eV per atom. Its calculated density is 9.5 g/cm3. The offset from the most stable computed form is 1.06 eV/f.u. The value obtained for the size of the total moment is 0.000 μB/f.u. As for the total energy: -6.71 eV per atom. Its symmetry is Pmmm (47). For the density of states at the Fermi level, the calculation gives 0.799 states/eV/atom.

***

No. 3
Compound: YSbW
Source: Alexandria
Functional: PBE
Structure: optimized geometry

Structure (extended XYZ):
```
3
Lattice="-5.4004 2.2439 -0.2224 -4.6813 -1.3395 3.2466 5.7022 1.3060 0.1670" Properties=species:S:1:pos:R:3 pbc="T T T"
Y -6.7674 0.6071 2.0300
Sb -9.8049 0.8796 2.9411
W -3.5911 0.3222 1.0772
```

The uncorrected formation energy comes out at 0.0735 eV per atom. Its calculated density is 9.8 g/cm3. The offset from the most stable computed form is 0.00 eV/f.u. The value obtained for the size of the total moment is 0.000 μB/f.u. As for the total energy: -7.77 eV per atom. Its symmetry is I4mm (107). For the density of states at the Fermi level, the calculation gives 0.657 states/eV/atom.

***

Q: Which value of calculated density does entry 2 give?
A: 9.5 g/cm3